Record 1
Below is crystalline AcAlCdGa2 at its relaxed geometry, with properties calculated at the PBE level.

Summary:
* space group: I-4m2 (119)
* crystal system: tetragonal

```
AcAlCdGa2
1.0
4.530 0.000 0.000
0.000 4.530 0.000
0.000 0.000 11.183
Ac Al Cd Ga
2 2 2 4
direct
0.000 0.000 0.000
0.500 0.500 0.500
0.000 0.500 0.250
0.500 0.000 0.750
0.000 0.500 0.750
0.500 0.000 0.250
0.000 0.000 0.386
0.000 0.000 0.614
0.500 0.500 0.114
0.500 0.500 0.886
```

Record 2
Below is crystalline Ac2Al4Cd3Ga at its relaxed geometry, with properties calculated at the PBE level.

Summary:
* space group: P-4m2 (115)
* crystal system: tetragonal

```
Ac2Al4Cd3Ga
1.0
4.628 0.000 0.000
0.000 4.628 0.000
0.000 0.000 11.189
Ac Al Cd Ga
2 4 3 1
direct
0.000 0.500 0.246
0.500 0.000 0.754
0.000 0.000 0.500
0.000 0.500 0.872
0.500 0.000 0.128
0.500 0.500 0.500
0.000 0.000 0.000
0.000 0.500 0.635
0.500 0.000 0.365
0.500 0.500 0.000
```

Record 3
Below is crystalline Ac2Al4CdGa3 at its relaxed geometry, with properties calculated at the PBE level.

Summary:
* space group: P-4m2 (115)
* crystal system: tetragonal

```
Ac2Al4CdGa3
1.0
4.530 0.000 0.000
0.000 4.530 0.000
0.000 0.000 10.980
Ac Al Cd Ga
2 4 1 3
direct
0.000 0.500 0.249
0.500 0.000 0.751
0.000 0.000 0.000
0.000 0.500 0.635
0.500 0.000 0.365
0.500 0.500 0.000
0.000 0.000 0.500
0.000 0.500 0.871
0.500 0.000 0.129
0.500 0.500 0.500
```

Record 4
Below is crystalline Ac2Al3CdGa4 at its relaxed geometry, with properties calculated at the PBE level.

Summary:
* space group: P-4m2 (115)
* crystal system: tetragonal

```
Ac2Al3CdGa4
1.0
4.577 0.000 0.000
0.000 4.577 0.000
0.000 0.000 10.770
Ac Al Cd Ga
2 3 1 4
direct
0.000 0.500 0.243
0.500 0.000 0.757
0.000 0.500 0.877
0.500 0.000 0.123
0.500 0.500 0.500
0.000 0.000 0.500
0.000 0.000 0.000
0.000 0.500 0.640
0.500 0.000 0.360
0.500 0.500 0.000
```

Record 5
Below is crystalline AcAlCdGa at its relaxed geometry, with properties calculated at the PBE level.

Summary:
* space group: F-43m (216)
* crystal system: cubic

```
AcAlCdGa
1.0
7.398 0.000 0.000
0.000 7.398 0.000
0.000 0.000 7.398
Ac Al Cd Ga
4 4 4 4
direct
0.000 0.000 0.000
0.000 0.500 0.500
0.500 0.000 0.500
0.500 0.500 0.000
0.000 0.000 0.500
0.000 0.500 0.000
0.500 0.000 0.000
0.500 0.500 0.500
0.250 0.250 0.250
0.250 0.750 0.750
0.750 0.250 0.750
0.750 0.750 0.250
0.250 0.250 0.750
0.250 0.750 0.250
0.750 0.250 0.250
0.750 0.750 0.750
```

Record 6
Below is crystalline Ac2Al3Cd4Ga at its relaxed geometry, with properties calculated at the PBE level.

Summary:
* space group: P-4m2 (115)
* crystal system: tetragonal

```
Ac2Al3Cd4Ga
1.0
4.630 0.000 0.000
0.000 4.630 0.000
0.000 0.000 11.444
Ac Al Cd Ga
2 3 4 1
direct
0.000 0.500 0.247
0.500 0.000 0.753
0.000 0.000 0.000
0.000 0.500 0.636
0.500 0.000 0.364
0.000 0.000 0.500
0.000 0.500 0.868
0.500 0.000 0.132
0.500 0.500 0.500
0.500 0.500 0.000
```

Record 7
Below is crystalline AcGdAlCd at its relaxed geometry, with properties calculated at the PBE level.

Summary:
* space group: F-43m (216)
* crystal system: cubic

```
AcGdAlCd
1.0
7.767 0.000 0.000
0.000 7.767 0.000
0.000 0.000 7.767
Ac Gd Al Cd
4 4 4 4
direct
0.000 0.000 0.000
0.000 0.500 0.500
0.500 0.000 0.500
0.500 0.500 0.000
0.000 0.000 0.500
0.000 0.500 0.000
0.500 0.000 0.000
0.500 0.500 0.500
0.250 0.250 0.750
0.250 0.750 0.250
0.750 0.250 0.250
0.750 0.750 0.750
0.250 0.250 0.250
0.250 0.750 0.750
0.750 0.250 0.750
0.750 0.750 0.250
```

Record 8
Below is crystalline Ac3Al2CdGe6 at its relaxed geometry, with properties calculated at the PBE level.

Summary:
* space group: P-3m1 (164)
* crystal system: trigonal

```
Ac3Al2CdGe6
1.0
6.403 0.000 0.000
-3.202 5.545 0.000
0.000 0.000 8.757
Ac Al Cd Ge
3 2 1 6
direct
0.000 0.000 0.000
0.333 0.667 0.630
0.667 0.333 0.370
0.333 0.667 0.024
0.667 0.333 0.976
0.000 0.000 0.500
0.197 0.395 0.278
0.197 0.803 0.278
0.395 0.197 0.722
0.605 0.803 0.278
0.803 0.197 0.722
0.803 0.605 0.722
```

Sequential calculated formation energy output: -421; -317; -388; -422; -154; -309; -270; -353 meV per atom
Sequential DOS(E_F) output: 0.319; 0.202; 0.409; 0.282; 1.192; 0.329; 1.138; 0.414 states/eV/atom
Sequential calculated density output: 7.3; 6.7; 6.5; 6.8; 7.2; 7.1; 7.4; 6.9 g/cm³